1.
GeAs: relaxed, PBE.

a b c (Å): 4.541 4.541 5.357
angles (deg): 90.00 90.00 120.00
Element x y z (fractional)
Ge 0.333 0.667 0.250
Ge 0.667 0.333 0.750
As 0.333 0.667 0.750
As 0.667 0.333 0.250

Output
**DFT total energy**: -4.55 eV/atom
**E_form**: 88.2 meV per atom

2.
Pu4GeRu3: relaxed, PBE.

a b c (Å): 5.153 5.153 9.072
angles (deg): 114.50 114.50 47.49
Element x y z (fractional)
Pu 0.111 0.111 0.373
Pu 0.349 0.349 0.136
Pu 0.651 0.651 0.864
Pu 0.889 0.889 0.627
Ge 0.000 0.000 0.000
Ru 0.267 0.267 0.743
Ru 0.500 0.500 0.500
Ru 0.733 0.733 0.257

Output
**DFT total energy**: -11.42 eV/atom
**E_form**: -193.6 meV per atom

3.
MgNiSn: relaxed, PBE.

a b c (Å): 4.911 4.911 7.530
angles (deg): 90.00 90.00 120.00
Element x y z (fractional)
Mg 0.197 0.394 0.333
Mg 0.197 0.803 0.667
Mg 0.606 0.803 0.000
Ni 0.534 0.068 0.333
Ni 0.534 0.466 0.667
Ni 0.932 0.466 0.000
Sn 0.290 0.145 0.000
Sn 0.855 0.145 0.667
Sn 0.855 0.710 0.333

Output
**DFT total energy**: -3.89 eV/atom
**E_form**: -101.7 meV per atom